Record 1
RbPu2TcO8 | Alexandria via LeMat-Bulk | PBE-GGA | relaxed; space group = P-1; D(E_F) = 0.758 states/eV per atom; formation energy from raw total energies = -2.09 eV/atom; uncorrected energy = -8.726 eV per atom; mass density = 7239 kg/m³; spin magnetization = 8.01 μB per formula unit
1.0
5.085 0.000 0.000
0.335 5.080 0.000
0.621 0.573 7.099
Rb Pu Tc O
1 2 1 8
direct
0.000 0.000 0.000
0.476 0.476 0.255
0.524 0.524 0.745
0.000 0.000 0.500
0.180 0.784 0.687
0.218 0.822 0.313
0.285 0.286 0.490
0.343 0.346 0.972
0.657 0.654 0.028
0.715 0.714 0.510
0.782 0.178 0.687
0.820 0.216 0.313

Record 2
Rb2PuTeO6 | Alexandria via LeMat-Bulk | PBE-GGA | relaxed; space group = Fm-3m; D(E_F) = 0.734 states/eV per atom; formation energy from raw total energies = -1.85 eV/atom; uncorrected energy = -6.765 eV per atom; mass density = 6757 kg/m³; spin magnetization = 1.99 μB per formula unit
1.0
0.000 4.281 4.281
4.281 0.000 4.281
4.281 4.281 0.000
Rb Pu Te O
2 1 1 6
direct
0.250 0.250 0.250
0.750 0.750 0.750
0.000 0.000 0.000
0.500 0.500 0.500
0.247 0.247 0.753
0.247 0.753 0.247
0.247 0.753 0.753
0.753 0.247 0.247
0.753 0.247 0.753
0.753 0.753 0.247

Record 3
RbPu2TeO8 | Alexandria via LeMat-Bulk | PBE-GGA | relaxed; space group = P2/m; D(E_F) = 0.557 states/eV per atom; formation energy from raw total energies = -1.96 eV/atom; uncorrected energy = -8.001 eV per atom; mass density = 7206 kg/m³; spin magnetization = 5.00 μB per formula unit
1.0
5.220 0.000 0.000
0.000 7.009 0.000
-0.232 0.000 5.222
Rb Pu Te O
1 2 1 8
direct
0.000 0.000 0.000
0.500 0.255 0.500
0.500 0.745 0.500
0.000 0.500 0.000
0.222 0.294 0.222
0.222 0.706 0.222
0.300 0.500 0.699
0.342 0.000 0.656
0.658 0.000 0.344
0.700 0.500 0.301
0.778 0.294 0.778
0.778 0.706 0.778